Entry 1:
Here is Au2SCl after structural relaxation from the Alexandria database. Energies are from PBE.

Properties
- Energy above the lowest structure with this stoichiometry: 1.98 eV per formula unit

POSCAR file:
```
Au2SCl
1.0
0.000 3.346 3.346
3.346 0.000 3.346
3.346 3.346 0.000
Au S Cl
2 1 1
direct
0.250 0.250 0.250
0.750 0.750 0.750
0.000 0.000 0.000
0.500 0.500 0.500
```

Entry 2:
Here is Au2SCl2 after structural relaxation from the Alexandria database. Energies are from PBE.

Properties
- Calculated total energy: -3.0563 eV/atom

POSCAR file:
```
Au2SCl2
1.0
3.666 0.000 0.000
1.784 7.235 0.000
1.778 1.300 9.884
Au S Cl
4 2 4
direct
0.100 0.357 0.303
0.230 0.745 0.994
0.770 0.255 0.006
0.900 0.643 0.697
0.409 0.520 0.845
0.591 0.480 0.155
0.058 0.947 0.165
0.381 0.760 0.542
0.619 0.240 0.458
0.942 0.053 0.835
```

Entry 3:
Here is AuS3Cl2 after structural relaxation from the Alexandria database. Energies are from PBE.

Properties
- Calculated total energy: -3.2684 eV/atom

POSCAR file:
```
AuS3Cl2
1.0
6.956 0.000 0.000
0.047 7.043 0.000
2.706 2.911 7.771
Au S Cl
2 6 4
direct
0.165 0.442 0.128
0.835 0.558 0.872
0.287 0.089 0.463
0.330 0.805 0.533
0.368 0.185 0.194
0.632 0.815 0.806
0.670 0.195 0.467
0.713 0.911 0.537
0.052 0.292 0.957
0.268 0.598 0.288
0.732 0.402 0.712
0.948 0.708 0.043
```

Entry 4:
Here is AuS2Cl after structural relaxation from the Alexandria database. Energies are from PBE.

Properties
- Calculated total energy: -3.4007 eV/atom

POSCAR file:
```
AuS2Cl
1.0
3.988 0.000 0.000
0.234 5.264 0.000
0.330 2.317 11.226
Au S Cl
2 4 2
direct
0.000 0.000 0.000
0.500 0.500 0.000
0.235 0.213 0.546
0.249 0.854 0.611
0.751 0.146 0.389
0.765 0.787 0.454
0.243 0.685 0.150
0.757 0.315 0.850
```

Entry 5:
Here is Au2SCl8 after structural relaxation from the Alexandria database. Energies are from PBE.

Properties
- Calculated total energy: -2.4522 eV/atom

POSCAR file:
```
Au2SCl8
1.0
6.474 0.000 0.000
2.718 6.158 0.000
2.308 0.951 9.242
Au S Cl
2 1 8
direct
0.018 0.424 0.187
0.982 0.576 0.813
0.500 0.500 0.500
0.156 0.764 0.622
0.191 0.606 0.988
0.245 0.449 0.335
0.467 0.212 0.654
0.533 0.788 0.346
0.755 0.551 0.665
0.809 0.394 0.012
0.844 0.236 0.378
```

Entry 6:
Here is AuS2Cl after structural relaxation from the Alexandria database. Energies are from PBE.

Properties
- Calculated total energy: -2.8049 eV/atom

POSCAR file:
```
AuS2Cl
1.0
1.436 0.829 11.310
-1.436 0.829 11.310
0.000 -1.658 11.310
Au S Cl
1 2 1
direct
0.000 0.000 0.000
0.070 0.070 0.070
0.930 0.930 0.930
0.500 0.500 0.500
```